First-principles (meta-GGA SCAN) data for a crystal of MgHgSb2 relaxed with PBEsol, as listed in Alexandria.

The size of the total moment comes out at 0.00 μB per atom. The value obtained for the formation energy without anion corrections is 0.146 eV per atom. The crystal system is cubic. As for the mass density: 7.96 g/cm³. For the energy relative to the lowest polymorph listed for this composition, the calculation gives 208 meV per atom.

It has space group Fm-3m (No. 225), with a = 7.310 Å, b = 7.310 Å, c = 7.310 Å, α = 90.00°, β = 90.00° and γ = 90.00°. The asymmetric unit holds Mg at (0.000, 0.000, 0.000), Hg at (0.000, 0.000, 0.500) and Sb at (0.250, 0.250, 0.250).